No. 1
Density functional theory data (PBE) for a relaxed structure of TmHgRh2.

## Properties
- calculated density (g cm⁻³) = 13.449

Geometry as CIF:
```
data_TmHgRh2
_symmetry_space_group_name_H-M 'P 4/m m m'
_symmetry_Int_Tables_number 123
_symmetry_space_group_name_Hall '-P 4 2'
_cell_length_a 4.348
_cell_length_b 4.348
_cell_length_c 3.757
_cell_angle_alpha 90.00
_cell_angle_beta 90.00
_cell_angle_gamma 90.00
loop_
_atom_site_label
_atom_site_fract_x
_atom_site_fract_y
_atom_site_fract_z
Tm1 0.000 0.000 0.000
Hg1 0.500 0.500 0.000
Rh1 0.000 0.500 0.500
```

No. 2
Density functional theory data (PBE) for a relaxed structure of Tm2Hg2Rh.

## Properties
- calculated density (g cm⁻³) = 12.569

Geometry as CIF:
```
data_Tm2Hg2Rh
_symmetry_space_group_name_H-M 'I 4/m m m'
_symmetry_Int_Tables_number 139
_symmetry_space_group_name_Hall '-I 4 2'
_cell_length_a 3.406
_cell_length_b 3.406
_cell_length_c 19.183
_cell_angle_alpha 90.00
_cell_angle_beta 90.00
_cell_angle_gamma 90.00
loop_
_atom_site_label
_atom_site_fract_x
_atom_site_fract_y
_atom_site_fract_z
Tm1 0.000 0.000 0.087
Hg1 0.000 0.000 0.303
Rh1 0.000 0.000 0.500
```

No. 3
Density functional theory data (PBE) for a relaxed structure of Tm8Hg2Rh3.

## Properties
- calculated density (g cm⁻³) = 10.293

Geometry as CIF:
```
data_Tm8Hg2Rh3
_symmetry_space_group_name_H-M 'P 1 2/m 1'
_symmetry_Int_Tables_number 10
_symmetry_space_group_name_Hall '-P 2y'
_cell_length_a 8.527
_cell_length_b 4.864
_cell_length_c 8.544
_cell_angle_alpha 90.00
_cell_angle_beta 110.22
_cell_angle_gamma 90.00
loop_
_atom_site_label
_atom_site_fract_x
_atom_site_fract_y
_atom_site_fract_z
Tm1 0.116 0.000 0.384
Tm2 0.136 0.500 0.870
Tm3 0.368 0.500 0.636
Tm4 0.383 0.000 0.118
Hg1 0.245 0.500 0.255
Rh1 0.250 0.000 0.751
Rh2 0.500 0.500 0.000
```

No. 4
Density functional theory data (PBE) for a relaxed structure of Tm8Hg2Rh.

## Properties
- calculated density (g cm⁻³) = 10.618

Geometry as CIF:
```
data_Tm8Hg2Rh
_symmetry_space_group_name_H-M 'C 1 2/m 1'
_symmetry_Int_Tables_number 12
_symmetry_space_group_name_Hall '-C 2y'
_cell_length_a 17.365
_cell_length_b 5.186
_cell_length_c 6.770
_cell_angle_alpha 90.00
_cell_angle_beta 107.83
_cell_angle_gamma 90.00
loop_
_atom_site_label
_atom_site_fract_x
_atom_site_fract_y
_atom_site_fract_z
Tm1 0.024 0.000 0.283
Tm2 0.089 0.500 0.928
Tm3 0.153 0.500 0.458
Tm4 0.199 0.000 0.801
Hg1 0.186 0.000 0.220
Rh1 0.000 0.500 0.500
```

No. 5
Density functional theory data (PBE) for a relaxed structure of Tm4Hg5Rh2.

## Properties
- calculated density (g cm⁻³) = 12.255

Geometry as CIF:
```
data_Tm4Hg5Rh2
_symmetry_space_group_name_H-M 'P 1 2/m 1'
_symmetry_Int_Tables_number 10
_symmetry_space_group_name_Hall '-P 2y'
_cell_length_a 7.672
_cell_length_b 3.543
_cell_length_c 9.423
_cell_angle_alpha 90.00
_cell_angle_beta 94.43
_cell_angle_gamma 90.00
loop_
_atom_site_label
_atom_site_fract_x
_atom_site_fract_y
_atom_site_fract_z
Tm1 0.181 0.000 0.351
Tm2 0.213 0.000 0.937
Hg1 0.169 0.500 0.644
Hg2 0.458 0.500 0.166
Hg3 0.500 0.500 0.500
Rh1 0.081 0.500 0.141
```

No. 6
Density functional theory data (PBE) for a relaxed structure of Tm8HgRh2.

## Properties
- calculated density (g cm⁻³) = 10.067

Geometry as CIF:
```
data_Tm8HgRh2
_symmetry_space_group_name_H-M 'C 1 2/m 1'
_symmetry_Int_Tables_number 12
_symmetry_space_group_name_Hall '-C 2y'
_cell_length_a 8.505
_cell_length_b 13.046
_cell_length_c 5.400
_cell_angle_alpha 90.00
_cell_angle_beta 104.55
_cell_angle_gamma 90.00
loop_
_atom_site_label
_atom_site_fract_x
_atom_site_fract_y
_atom_site_fract_z
Tm1 0.000 0.242 0.000
Tm2 0.118 0.500 0.807
Tm3 0.202 0.129 0.583
Hg1 0.000 0.000 0.000
Rh1 0.000 0.307 0.500
```

No. 7
Density functional theory data (PBE) for a relaxed structure of TmHg2Rh.

## Properties
- calculated density (g cm⁻³) = 13.567

Geometry as CIF:
```
data_TmHg2Rh
_symmetry_space_group_name_H-M 'P 4/m m m'
_symmetry_Int_Tables_number 123
_symmetry_space_group_name_Hall '-P 4 2'
_cell_length_a 4.142
_cell_length_b 4.142
_cell_length_c 4.801
_cell_angle_alpha 90.00
_cell_angle_beta 90.00
_cell_angle_gamma 90.00
loop_
_atom_site_label
_atom_site_fract_x
_atom_site_fract_y
_atom_site_fract_z
Tm1 0.000 0.000 0.000
Hg1 0.000 0.500 0.500
Rh1 0.500 0.500 0.000
```

No. 8
Density functional theory data (PBE) for a relaxed structure of Tm4HgRh.

## Properties
- excess energy over the best structure of this formula in the dataset (meV per atom) = 0
- calculated density (g cm⁻³) = 10.912

Geometry as CIF:
```
data_Tm4HgRh
_symmetry_space_group_name_H-M 'F -4 3 m'
_symmetry_Int_Tables_number 216
_symmetry_space_group_name_Hall 'F -4 2 3'
_cell_length_a 13.359
_cell_length_b 13.359
_cell_length_c 13.359
_cell_angle_alpha 90.00
_cell_angle_beta 90.00
_cell_angle_gamma 90.00
loop_
_atom_site_label
_atom_site_fract_x
_atom_site_fract_y
_atom_site_fract_z
Tm1 0.000 0.000 0.187
Tm2 0.061 0.250 0.750
Tm3 0.102 0.102 0.398
Hg1 0.165 0.165 0.165
Rh1 0.107 0.107 0.607
```

No. 9
Density functional theory data (PBE) for a relaxed structure of Tm4HgRh.

## Properties
- excess energy over the best structure of this formula in the dataset (meV per atom) = 192
- calculated density (g cm⁻³) = 9.597

Geometry as CIF:
```
data_Tm4HgRh
_symmetry_space_group_name_H-M 'P 1 21/c 1'
_symmetry_Int_Tables_number 14
_symmetry_space_group_name_Hall '-P 2ybc'
_cell_length_a 7.207
_cell_length_b 6.911
_cell_length_c 6.809
_cell_angle_alpha 90.00
_cell_angle_beta 92.39
_cell_angle_gamma 90.00
loop_
_atom_site_label
_atom_site_fract_x
_atom_site_fract_y
_atom_site_fract_z
Tm1 0.143 0.157 0.174
Tm2 0.318 0.648 0.130
Hg1 0.500 0.000 0.000
Rh1 0.000 0.000 0.500
```

No. 10
Density functional theory data (PBE) for a relaxed structure of Tm4HgRh3.

## Properties
- calculated density (g cm⁻³) = 11.943

Geometry as CIF:
```
data_Tm4HgRh3
_symmetry_space_group_name_H-M 'P 4/m m m'
_symmetry_Int_Tables_number 123
_symmetry_space_group_name_Hall '-P 4 2'
_cell_length_a 4.836
_cell_length_b 4.836
_cell_length_c 7.045
_cell_angle_alpha 90.00
_cell_angle_beta 90.00
_cell_angle_gamma 90.00
loop_
_atom_site_label
_atom_site_fract_x
_atom_site_fract_y
_atom_site_fract_z
Tm1 0.000 0.500 0.238
Hg1 0.000 0.000 0.500
Rh1 0.000 0.000 0.000
Rh2 0.500 0.500 0.000
Rh3 0.500 0.500 0.500
```

No. 11
Density functional theory data (PBE) for a relaxed structure of Tm11Hg9Rh4.

## Properties
- calculated density (g cm⁻³) = 12.302

Geometry as CIF:
```
data_Tm11Hg9Rh4
_symmetry_space_group_name_H-M 'C m m m'
_symmetry_Int_Tables_number 65
_symmetry_space_group_name_Hall '-C 2 2'
_cell_length_a 14.255
_cell_length_b 21.292
_cell_length_c 3.625
_cell_angle_alpha 90.00
_cell_angle_beta 90.00
_cell_angle_gamma 90.00
loop_
_atom_site_label
_atom_site_fract_x
_atom_site_fract_y
_atom_site_fract_z
Tm1 0.000 0.000 0.000
Tm2 0.000 0.166 0.000
Tm3 0.000 0.366 0.000
Tm4 0.206 0.500 0.000
Tm5 0.250 0.166 0.000
Hg1 0.000 0.500 0.500
Hg2 0.111 0.259 0.500
Hg3 0.136 0.076 0.500
Rh1 0.145 0.404 0.500
```

Quick rundown of D(E_F), same order as above: 0.778; 0.580; 0.972; 0.713; 0.528; 1.052; 0.656; 0.714; 1.027; 1.033; 0.674 states/eV/atom
Quick rundown of ΔH_f (0 K), same order as above: -0.587; -0.596; -0.526; -0.348; -0.583; -0.395; -0.301; -0.567; -0.375; -0.794; -0.637 eV per atom